Computed, not measured: a relaxed CdCuH crystal at the PBE level of DFT.

Summary:
As for the polymorph energy (0 for the lowest one): 36 meV/atom.

The structure in CIF format:
```
data_CdCuH
_chemical_formula_sum 'Cd2 Cu2 H2'
_symmetry_space_group_name_H-M 'P 1'
_symmetry_Int_Tables_number 1
_cell_length_a 6.054
_cell_length_b 2.848
_cell_length_c 4.941
_cell_angle_alpha 90.00
_cell_angle_beta 107.32
_cell_angle_gamma 90.00
loop_
_symmetry_equiv_pos_as_xyz
'x,y,z'
loop_
_atom_site_label
_atom_site_type_symbol
_atom_site_fract_x
_atom_site_fract_y
_atom_site_fract_z
H1 H 0.540 0.500 0.106
H2 H 0.540 0.000 0.606
Cu1 Cu 0.463 0.500 0.745
Cu2 Cu 0.463 0.000 0.245
Cd1 Cd 0.008 0.000 0.757
Cd2 Cd 0.008 0.500 0.257
```

=====

Computed, not measured: a relaxed CsAgBi2Br8 crystal at the PBE level of DFT.

Summary:
The energy relative to the elements, uncorrected comes out at -0.827 eV per atom.

The structure in CIF format:
```
data_CsAgBi2Br8
_chemical_formula_sum 'Cs1 Ag1 Bi2 Br8'
_symmetry_space_group_name_H-M 'P 1'
_symmetry_Int_Tables_number 1
_cell_length_a 7.466
_cell_length_b 9.554
_cell_length_c 8.747
_cell_angle_alpha 98.34
_cell_angle_beta 90.40
_cell_angle_gamma 61.52
loop_
_symmetry_equiv_pos_as_xyz
'x,y,z'
loop_
_atom_site_label
_atom_site_type_symbol
_atom_site_fract_x
_atom_site_fract_y
_atom_site_fract_z
Ag1 Ag 0.000 0.000 0.000
Br1 Br 0.955 0.234 0.200
Br2 Br 0.045 0.766 0.800
Br3 Br 0.461 0.312 0.497
Br4 Br 0.539 0.688 0.503
Br5 Br 0.082 0.641 0.255
Br6 Br 0.483 0.297 0.940
Br7 Br 0.918 0.359 0.745
Br8 Br 0.517 0.703 0.060
Bi1 Bi 0.495 0.484 0.242
Bi2 Bi 0.505 0.516 0.758
Cs1 Cs 0.000 0.000 0.500
```

=====

Calculated values (eV per atom) of total DFT energy (no corrections) for the records, taken in order: -2.633 -2.898.